The following is a DFT calculation (PBE) of an optimized crystal structure of Pu5RhAu3.

Summary:
For the calculated volume, the calculation gives 23.94 A^3/atom. The value obtained for the energy of formation from the pure elements is -37.5 kJ per mole of atoms. Its space-group type is No. 193.

Cell lengths 5.940, 9.152, 9.152 Å; angles 120.00, 90.00, 90.00 degrees
Each line ends with the local moment (μB).
Fractional coordinates of all 18 atoms:
Pu 0.750 0.737 0.000  5.36
Pu 0.500 0.667 0.333  5.76
Pu 0.750 0.000 0.737  5.36
Pu 0.000 0.667 0.333  5.76
Pu 0.250 0.263 0.000  5.36
Pu 0.500 0.333 0.667  5.76
Pu 0.250 0.000 0.263  5.36
Pu 0.000 0.333 0.667  5.76
Pu 0.250 0.737 0.737  5.36
Pu 0.750 0.263 0.263  5.36
Rh 0.000 0.000 0.000  -0.30
Rh 0.500 0.000 0.000  -0.30
Au 0.750 0.391 0.000  0.07
Au 0.750 0.000 0.391  0.07
Au 0.250 0.391 0.391  0.07
Au 0.250 0.000 0.609  0.07
Au 0.250 0.609 0.000  0.07
Au 0.750 0.609 0.609  0.07